No. 1
# BiSbIO4 PBE-GGA relaxed
# E_tot ... -5.12 eV per atom
# Size of the total moment ... 0.00 μB/f.u.
# Energy relative to the elements, uncorrected ... -919 meV/atom
# Crystal system ... monoclinic
data_BiSbIO4
_cell_length_a 6.999
_cell_length_b 6.999
_cell_length_c 7.171
_cell_angle_alpha 78.44
_cell_angle_beta 78.44
_cell_angle_gamma 58.67
_symmetry_space_group_name_H-M 'P 1'
_symmetry_Int_Tables_number 1
_symmetry_space_group_name_Hall 'P 1'
loop_
_atom_site_label
_atom_site_fract_x
_atom_site_fract_y
_atom_site_fract_z
Bi1 0.290 0.290 0.837
Bi2 0.710 0.710 0.163
Sb1 0.633 0.633 0.731
Sb2 0.367 0.367 0.269
I1 0.024 0.024 0.309
I2 0.976 0.976 0.691
O1 0.282 0.282 0.526
O2 0.718 0.718 0.474
O3 0.116 0.529 0.118
O4 0.524 0.524 0.253
O5 0.471 0.884 0.882
O6 0.529 0.116 0.118
O7 0.476 0.476 0.747
O8 0.884 0.471 0.882



No. 2
# BiSbIO2 PBE-GGA relaxed
# E_tot ... -3.91 eV per atom
# Size of the total moment ... 1.14 μB/f.u.
# ΔE to the lowest computed polymorph ... 106 meV per atom
# Energy relative to the elements, uncorrected ... -15 meV/atom
# Crystal system ... tetragonal
data_BiSbIO2
_cell_length_a 4.374
_cell_length_b 4.374
_cell_length_c 6.880
_cell_angle_alpha 90.00
_cell_angle_beta 90.00
_cell_angle_gamma 90.00
_symmetry_space_group_name_H-M 'P 1'
_symmetry_Int_Tables_number 1
_symmetry_space_group_name_Hall 'P 1'
loop_
_atom_site_label
_atom_site_fract_x
_atom_site_fract_y
_atom_site_fract_z
I1 0.000 0.000 0.500
Sb1 0.500 0.500 0.500
Bi1 0.000 0.000 0.000
O1 0.000 0.500 0.000
O2 0.500 0.000 0.000



Please write out number 1 again, unchanged.
# BiSbIO4 PBE-GGA relaxed
# E_tot ... -5.12 eV per atom
# Size of the total moment ... 0.00 μB/f.u.
# Energy relative to the elements, uncorrected ... -919 meV/atom
# Crystal system ... monoclinic
data_BiSbIO4
_cell_length_a 6.999
_cell_length_b 6.999
_cell_length_c 7.171
_cell_angle_alpha 78.44
_cell_angle_beta 78.44
_cell_angle_gamma 58.67
_symmetry_space_group_name_H-M 'P 1'
_symmetry_Int_Tables_number 1
_symmetry_space_group_name_Hall 'P 1'
loop_
_atom_site_label
_atom_site_fract_x
_atom_site_fract_y
_atom_site_fract_z
Bi1 0.290 0.290 0.837
Bi2 0.710 0.710 0.163
Sb1 0.633 0.633 0.731
Sb2 0.367 0.367 0.269
I1 0.024 0.024 0.309
I2 0.976 0.976 0.691
O1 0.282 0.282 0.526
O2 0.718 0.718 0.474
O3 0.116 0.529 0.118
O4 0.524 0.524 0.253
O5 0.471 0.884 0.882
O6 0.529 0.116 0.118
O7 0.476 0.476 0.747
O8 0.884 0.471 0.882